(1)
This record from Alexandria via LeMat-Bulk describes LiRuN2 after structural relaxation. The functional is PBE.

a b c (Å): 5.0800 5.0800 5.0800
angles (deg): 90.00 90.00 90.00
With the nearest neighbours (Å) after each atom.
Space group Fm-3m (No. 225)
Inequivalent atoms, fractional coordinates:
Li 0.0000 0.0000 0.0000  8 N 2.20
Ru 0.0000 0.0000 0.5000  8 N 2.20
N 0.2500 0.2500 0.2500  4 Li 2.20, 4 Ru 2.20

## Properties
Uncorrected formation energy: 467 meV per atom
Offset from the most stable computed form: 464 meV/atom
Total magnetization: 0.00 μB/cell

(2)
This record from Alexandria via LeMat-Bulk describes Li3RuN after structural relaxation. The functional is PBE.

a b c (Å): 4.8495 4.8495 4.8495
angles (deg): 90.00 90.00 90.00
With the nearest neighbours (Å) after each atom.
Space group Pm-3m (No. 221)
Inequivalent atoms, fractional coordinates:
Li 0.0000 0.0000 0.5000  2 Ru 2.42
Ru 0.0000 0.0000 0.0000  6 Li 2.42
N 0.5000 0.5000 0.5000  12 Li 3.43

## Properties
Uncorrected formation energy: 1670 meV per atom
Offset from the most stable computed form: 1195 meV/atom
Total magnetization: 4.00 μB/cell

(3)
This record from Alexandria via LeMat-Bulk describes Li6RuN4 after structural relaxation. The functional is PBE.

a b c (Å): 6.6706 6.6706 4.9249
angles (deg): 90.00 90.00 90.00
With the nearest neighbours (Å) after each atom.
Space group P4_2/nmc (No. 137, origin choice 2)
Inequivalent atoms, fractional coordinates:
Li 0.0360 0.5360 0.2500  4 N 2.09-2.15
Li 0.2500 0.2500 0.1562  4 N 2.00-2.21
Ru 0.2500 0.7500 0.7500  4 N 1.89
N 0.0047 0.7500 0.5578  1 Ru 1.89, 3 Li 2.00-2.09

## Properties
Uncorrected formation energy: -370 meV per atom
Total magnetization: 3.40 μB/cell

(4)
This record from Alexandria via LeMat-Bulk describes LiRuN2 after structural relaxation. The functional is PBE.

a b c (Å): 3.0623 3.0623 17.3986
angles (deg): 90.00 90.00 120.00
With the nearest neighbours (Å) after each atom.
Space group R-3m (No. 166, hexagonal axes)
Inequivalent atoms, fractional coordinates:
Li 0.0000 0.0000 0.0000  2 N 1.86
Ru 0.0000 0.0000 0.5000  6 N 2.05
N 0.0000 0.0000 0.1069  1 Li 1.86, 3 Ru 2.05

## Properties
Uncorrected formation energy: 378 meV per atom
Offset from the most stable computed form: 374 meV/atom
Total magnetization: 0.00 μB/cell

(5)
This record from Alexandria via LeMat-Bulk describes LiRu3N after structural relaxation. The functional is PBE.

a b c (Å): 4.0040 4.0040 4.0040
angles (deg): 90.00 90.00 90.00
With the nearest neighbours (Å) after each atom.
Space group Pm-3m (No. 221)
Inequivalent atoms, fractional coordinates:
Li 0.0000 0.0000 0.0000  12 Ru 2.83
Ru 0.0000 0.5000 0.5000  2 N 2.00
N 0.5000 0.5000 0.5000  6 Ru 2.00

## Properties
Uncorrected formation energy: 206 meV per atom
Offset from the most stable computed form: 0 meV/atom
Total magnetization: 0.43 μB/cell

(6)
This record from Alexandria via LeMat-Bulk describes LiRuSe2N after structural relaxation. The functional is PBE.

a b c (Å): 5.1581 5.1581 3.6389
angles (deg): 90.00 90.00 90.00
With the nearest neighbours (Å) after each atom.
Space group P4/mmm (No. 123)
Inequivalent atoms, fractional coordinates:
Li 0.0000 0.0000 0.0000  8 Se 3.16
Ru 0.5000 0.5000 0.5000  2 N 1.82
Se 0.0000 0.5000 0.5000  2 Ru 2.58
N 0.5000 0.5000 0.0000  2 Ru 1.82

## Properties
Uncorrected formation energy: 98 meV per atom
Offset from the most stable computed form: 0 meV/atom
Total magnetization: 0.18 μB/cell

(7)
This record from Alexandria via LeMat-Bulk describes LiRuSeN2 after structural relaxation. The functional is PBE.

a b c (Å): 3.6532 3.6532 4.4616
angles (deg): 90.00 90.00 90.00
With the nearest neighbours (Å) after each atom.
Space group P4/mmm (No. 123)
Inequivalent atoms, fractional coordinates:
Li 0.0000 0.0000 0.0000  4 N 1.83
Ru 0.5000 0.5000 0.5000  4 Se 2.58, 8 N 2.88
Se 0.0000 0.0000 0.5000  2 Li 2.23
N 0.0000 0.5000 0.0000  2 Li 1.83

## Properties
Uncorrected formation energy: 1769 meV per atom
Offset from the most stable computed form: 1398 meV/atom
Total magnetization: 0.00 μB/cell

(8)
This record from Alexandria via LeMat-Bulk describes LiRuSeN2 after structural relaxation. The functional is PBE.

a b c (Å): 3.7700 3.7700 5.4749
angles (deg): 90.00 90.00 90.00
With the nearest neighbours (Å) after each atom.
Space group P4/mmm (No. 123)
Inequivalent atoms, fractional coordinates:
Li 0.0000 0.0000 0.0000  4 Se 2.67
Ru 0.5000 0.5000 0.5000  4 N 1.88
Se 0.5000 0.5000 0.0000  4 Li 2.67, 2 Ru 2.74
N 0.0000 0.5000 0.5000  2 Ru 1.88

## Properties
Uncorrected formation energy: 371 meV per atom
Offset from the most stable computed form: 0 meV/atom
Total magnetization: 0.24 μB/cell

Look up the uncorrected formation energy of the sixth one.
98 meV per atom

What is the total magnetization in the eighth record?
0.24 μB/cell

Number 6 is which compound?
LiRuSe2N